Entry 1:
{
  "formula": "Ag2AsF6",
  "functional": "GGA-PBE",
  "state": "optimized geometry",
  "lattice": [[5.286, 0.000, 0.000], [0.000, 5.286, 0.000], [0.000, 0.000, 10.462]],
  "species": ["F", "As", "Ag", "Ag", "F", "Ag", "F", "F", "F", "F", "F", "F", "F", "Ag", "F", "As", "F", "F"],
  "fractional_positions": [[0.180, 0.820, 0.366], [0.000, 0.000, 0.500], [0.000, 0.000, 0.160], [0.500, 0.500, 0.660], [0.680, 0.680, 0.866], [0.000, 0.000, 0.840], [0.757, 0.243, 0.000], [0.820, 0.180, 0.366], [0.320, 0.320, 0.134], [0.680, 0.680, 0.134], [0.820, 0.180, 0.634], [0.243, 0.757, 0.000], [0.320, 0.320, 0.866], [0.500, 0.500, 0.340], [0.257, 0.257, 0.500], [0.500, 0.500, 0.000], [0.743, 0.743, 0.500], [0.180, 0.820, 0.634]],
  "e_tot_ev_per_cell": -71.63,
  "total_magnetization_mub_per_fu": 0.0,
  "relative_energy_mev_per_atom": 0.0,
  "rho_g_cm3": 4.6,
  "vol_a3_per_atom": 16.2
}



Entry 2:
{
  "formula": "AgAsF3",
  "functional": "GGA-PBE",
  "state": "optimized geometry",
  "lattice": [[-1.940, -0.875, -3.761], [1.606, -4.010, 0.105], [-3.511, -1.350, 2.126]],
  "species": ["F", "F", "Ag", "As", "F"],
  "fractional_positions": [[0.500, 0.000, 0.000], [0.000, 0.000, 0.500], [0.500, 0.500, 0.500], [0.000, 0.000, 0.000], [0.000, 0.500, 0.000]],
  "e_tot_ev_per_cell": -18.56,
  "total_magnetization_mub_per_fu": 0.7,
  "relative_energy_mev_per_atom": 0.0,
  "rho_g_cm3": 4.9,
  "vol_a3_per_atom": 16.1
}



Entry 3:
{
  "formula": "Ag2AsF8",
  "functional": "GGA-PBE",
  "state": "optimized geometry",
  "lattice": [[-2.456, -2.840, 1.857], [0.079, -3.277, -4.906], [6.373, -0.969, 2.221]],
  "species": ["F", "As", "Ag", "Ag", "F", "F", "F", "F", "F", "F", "F"],
  "fractional_positions": [[0.943, 0.121, 0.885], [0.500, 0.000, 0.000], [0.176, 0.654, 0.351], [0.824, 0.346, 0.649], [0.715, 0.608, 0.430], [0.639, 0.043, 0.278], [0.057, 0.879, 0.115], [0.361, 0.957, 0.722], [0.285, 0.392, 0.570], [0.483, 0.698, 0.965], [0.517, 0.302, 0.035]],
  "e_tot_ev_per_cell": -40.40,
  "total_magnetization_mub_per_fu": 0.5,
  "rho_g_cm3": 4.7,
  "vol_a3_per_atom": 14.3
}



Entry 4:
{
  "formula": "AgAsF5",
  "functional": "GGA-PBE",
  "state": "optimized geometry",
  "lattice": [[5.754, -0.078, 0.042], [1.752, 5.482, 0.042], [2.726, 1.963, 7.310]],
  "species": ["Ag", "F", "As", "F", "F", "As", "F", "F", "F", "F", "F", "Ag", "F", "F"],
  "fractional_positions": [[0.495, 0.505, 0.750], [0.007, 0.993, 0.750], [0.000, 0.000, 0.000], [0.778, 0.772, 0.111], [0.282, 0.722, 0.004], [0.000, 0.000, 0.500], [0.278, 0.718, 0.496], [0.718, 0.278, 0.996], [0.772, 0.778, 0.611], [0.222, 0.228, 0.889], [0.228, 0.222, 0.389], [0.505, 0.495, 0.250], [0.722, 0.282, 0.504], [0.993, 0.007, 0.250]],
  "e_tot_ev_per_cell": -57.72,
  "total_magnetization_mub_per_fu": 0.0,
  "rho_g_cm3": 4.0,
  "vol_a3_per_atom": 16.5
}



Entry 5:
{
  "formula": "AgAs2F8",
  "functional": "GGA-PBE",
  "state": "optimized geometry",
  "lattice": [[-5.377, 0.870, 2.549], [-2.421, -4.888, 3.656], [-0.055, 3.973, 5.623]],
  "species": ["F", "F", "Ag", "F", "F", "F", "F", "F", "F", "As", "As"],
  "fractional_positions": [[0.262, 0.058, 0.419], [0.728, 0.241, 0.303], [0.000, 0.000, 0.000], [0.778, 0.756, 0.137], [0.272, 0.759, 0.697], [0.671, 0.244, 0.863], [0.738, 0.942, 0.581], [0.329, 0.756, 0.137], [0.222, 0.244, 0.863], [0.460, 0.748, 0.332], [0.540, 0.252, 0.668]],
  "e_tot_ev_per_cell": -47.08,
  "total_magnetization_mub_per_fu": 0.0,
  "relative_energy_mev_per_atom": 0.0,
  "rho_g_cm3": 3.2,
  "vol_a3_per_atom": 19.3
}



Entry 6:
{
  "formula": "AgAsF6",
  "functional": "GGA-PBE",
  "state": "optimized geometry",
  "lattice": [[-2.229, 4.788, -0.907], [-5.271, 0.692, 0.730], [-1.669, 3.109, 4.658]],
  "species": ["F", "F", "As", "F", "Ag", "F", "F", "F"],
  "fractional_positions": [[0.948, 0.653, 0.207], [0.807, 0.052, 0.793], [0.000, 0.000, 0.000], [0.052, 0.347, 0.793], [0.500, 0.500, 0.500], [0.651, 0.193, 0.208], [0.193, 0.948, 0.207], [0.349, 0.807, 0.792]],
  "e_tot_ev_per_cell": -33.85,
  "total_magnetization_mub_per_fu": 0.1,
  "rho_g_cm3": 4.0,
  "vol_a3_per_atom": 15.4
}



Entry 7:
{
  "formula": "Ag2AsF",
  "functional": "GGA-PBE",
  "state": "optimized geometry",
  "lattice": [[2.892, -2.376, -2.538], [1.887, -3.766, 1.646], [-1.215, -4.038, -1.633]],
  "species": ["Ag", "As", "F", "Ag"],
  "fractional_positions": [[0.250, 0.250, 0.250], [0.500, 0.500, 0.500], [0.000, 0.000, 0.000], [0.750, 0.750, 0.750]],
  "e_tot_ev_per_cell": -13.17,
  "total_magnetization_mub_per_fu": 0.0,
  "relative_energy_mev_per_atom": 83.5,
  "rho_g_cm3": 7.9,
  "vol_a3_per_atom": 16.3
}



Entry 8:
{
  "formula": "Ag2As2F7",
  "functional": "GGA-PBE",
  "state": "optimized geometry",
  "lattice": [[-2.744, -6.305, -0.755], [-0.664, -0.505, 4.896], [-4.551, 1.858, -0.708]],
  "species": ["F", "F", "As", "As", "Ag", "F", "F", "F", "F", "F", "Ag"],
  "fractional_positions": [[0.668, 0.518, 0.874], [0.914, 0.258, 0.258], [0.477, 0.703, 0.703], [0.523, 0.297, 0.297], [0.000, 0.241, 0.759], [0.332, 0.126, 0.482], [0.500, 0.000, 0.000], [0.668, 0.874, 0.518], [0.332, 0.482, 0.126], [0.086, 0.742, 0.742], [0.000, 0.759, 0.241]],
  "e_tot_ev_per_cell": -44.26,
  "total_magnetization_mub_per_fu": 0.0,
  "rho_g_cm3": 4.9,
  "vol_a3_per_atom": 15.5
}